SrCr2O4 after structural relaxation, computed with PBE with a Hubbard U.

Calculated values
ΔE to the lowest computed polymorph = 80 meV/atom
space-group type = P2/m
total magnetic moment = 0.86 μB/atom
N(E_F) = 0.0 states/eV/f.u.
energy = -51.9 eV for the cell shown
mass density = 4.6 g/cm3

a = 5.1259 Å, b = 3.1363 Å, c = 5.9924 Å
α = 90.00°, β = 106.55°, γ = 90.00°
Positions (direct):
Sr  0.0000  0.0000  0.0000
Cr  0.0000  0.5000  0.5000
Cr  0.5000  0.0000  0.5000
O  0.2214  0.0000  0.6790
O  0.2717  0.5000  0.3114
O  0.7283  0.5000  0.6886
O  0.7786  0.0000  0.3210

=====

SrCr2O4 after structural relaxation, computed with PBE with a Hubbard U.

Calculated values
ΔE to the lowest computed polymorph = 0 meV/atom
space-group type = Pmmn
total magnetic moment = 0.86 μB/atom
N(E_F) = 0.0 states/eV/f.u.
energy = -210.0 eV for the cell shown
mass density = 4.6 g/cm3

a = 6.0358 Å, b = 11.7041 Å, c = 5.2349 Å
α = 90.00°, β = 90.00°, γ = 90.00°
Positions (direct):
Sr  0.2500  0.2500  0.0439
Sr  0.2500  0.7500  0.3596
Sr  0.7500  0.2500  0.6404
Sr  0.7500  0.7500  0.9561
Cr  0.0000  0.0000  0.5000
Cr  0.0000  0.5000  0.5000
Cr  0.2500  0.5075  0.9959
Cr  0.2500  0.9925  0.9959
Cr  0.5000  0.0000  0.5000
Cr  0.5000  0.5000  0.5000
Cr  0.7500  0.0075  0.0041
Cr  0.7500  0.4925  0.0041
O  0.0032  0.0944  0.8350
O  0.0032  0.4056  0.8350
O  0.2500  0.0844  0.3257
O  0.2500  0.4156  0.3257
O  0.2500  0.5915  0.6626
O  0.2500  0.9085  0.6626
O  0.4968  0.0944  0.8350
O  0.4968  0.4056  0.8350
O  0.5032  0.5944  0.1650
O  0.5032  0.9056  0.1650
O  0.7500  0.0915  0.3374
O  0.7500  0.4085  0.3374
O  0.7500  0.5844  0.6743
O  0.7500  0.9156  0.6743
O  0.9968  0.5944  0.1650
O  0.9968  0.9056  0.1650

=====

SrCrO3 after structural relaxation, computed with PBE with a Hubbard U.

Calculated values
space-group type = Pm-3m
total magnetic moment = 0.40 μB/atom
N(E_F) = 7.1 states/eV/f.u.
energy = -25.3 eV for the cell shown
mass density = 3.5 g/cm3

a = 4.4677 Å, b = 4.4677 Å, c = 4.4677 Å
α = 90.00°, β = 90.00°, γ = 90.00°
Positions (direct):
Sr  0.0000  0.0000  0.0000
Cr  0.5000  0.5000  0.5000
O  0.0000  0.0000  0.5000
O  0.0000  0.5000  0.0000
O  0.5000  0.0000  0.0000

=====

The lowest mass density belongs to which entry?
SrCrO3

=====

mass density of number 2 (SrCr2O4)?
4.6 g/cm3